Record 1
# LaCo2Cl

A relaxed structure of LaCo2Cl (GGA-PBE, the Alexandria database).

abc: 5.210 5.210 5.210
angles: 50.32 50.32 50.32
Atoms (fractional coordinates):
Co: 0.425 0.425 0.425
La: 0.250 0.250 0.250
Co: 0.075 0.075 0.075
Cl: 0.750 0.750 0.750

Computed properties:
Uncorrected formation energy, kcal/mol of atoms: 3.20
Relative energy among the computed polymorphs, meV/atom: 524

Record 2
# La4Co2Cl5

A relaxed structure of La4Co2Cl5 (GGA-PBE, the Alexandria database).

abc: 4.161 8.324 10.037
angles: 114.51 101.96 90.00
Atoms (fractional coordinates):
Cl: 0.172 0.938 0.343
Cl: 0.500 0.000 0.000
Cl: 0.828 0.062 0.657
La: 0.685 0.685 0.371
La: 0.315 0.315 0.629
Co: 0.440 0.440 0.880
Cl: 0.172 0.405 0.343
Cl: 0.828 0.595 0.657
La: 0.000 0.725 0.000
Co: 0.560 0.560 0.120
La: 0.000 0.275 0.000

Computed properties:
Uncorrected formation energy, kcal/mol of atoms: -32.50

Record 3
# La5Co2Cl2

A relaxed structure of La5Co2Cl2 (GGA-PBE, the Alexandria database).

abc: 7.260 8.547 8.435
angles: 90.00 64.51 90.00
Atoms (fractional coordinates):
Co: 0.844 0.611 0.000
La: 0.019 0.667 0.238
Cl: 0.200 0.000 0.600
La: 0.743 0.333 0.238
La: 0.257 0.667 0.762
La: 0.519 0.833 0.238
La: 0.000 0.000 0.000
Co: 0.656 0.111 0.000
La: 0.500 0.500 0.000
La: 0.243 0.167 0.238
Cl: 0.800 0.000 0.400
La: 0.981 0.333 0.762
La: 0.481 0.167 0.762
Co: 0.156 0.389 0.000
La: 0.757 0.833 0.762
Cl: 0.300 0.500 0.400
Co: 0.344 0.889 0.000
Cl: 0.700 0.500 0.600

Computed properties:
Uncorrected formation energy, kcal/mol of atoms: -16.54

Record 4
# La2CoCl

A relaxed structure of La2CoCl (GGA-PBE, the Alexandria database).

abc: 3.531 3.531 8.130
angles: 90.00 90.00 104.75
Atoms (fractional coordinates):
Cl: 0.500 0.500 0.250
Co: 0.500 0.500 0.750
La: 0.000 0.000 0.959
La: 0.000 0.000 0.541

Computed properties:
Uncorrected formation energy, kcal/mol of atoms: -17.45
Relative energy among the computed polymorphs, meV/atom: 179

Record 5
# La2CoCl

A relaxed structure of La2CoCl (GGA-PBE, the Alexandria database).

abc: 8.197 8.197 8.197
angles: 154.31 154.09 36.81
Atoms (fractional coordinates):
Cl: 0.451 0.451 0.000
La: 0.069 0.069 0.000
Co: 0.197 0.697 0.500
La: 0.783 0.283 0.500

Computed properties:
Uncorrected formation energy, kcal/mol of atoms: -16.77
Relative energy among the computed polymorphs, meV/atom: 209

Record 6
# La6CoCl11

A relaxed structure of La6CoCl11 (GGA-PBE, the Alexandria database).

abc: 11.454 11.454 14.635
angles: 90.00 90.00 90.00
Atoms (fractional coordinates):
Cl: 0.748 0.101 0.758
Cl: 0.000 0.000 0.630
La: 0.772 0.989 0.243
La: 0.110 0.743 0.124
La: 0.266 0.061 0.603
Cl: 0.757 0.451 0.450
La: 0.511 0.272 0.743
Cl: 0.500 0.000 0.672
La: 0.989 0.228 0.757
Cl: 0.500 0.500 0.870
Cl: 0.243 0.549 0.450
Cl: 0.257 0.951 0.050
Cl: 0.820 0.774 0.470
Cl: 0.641 0.991 0.403
Cl: 0.491 0.859 0.903
Cl: 0.226 0.820 0.530
La: 0.743 0.890 0.876
La: 0.257 0.110 0.876
Cl: 0.549 0.757 0.550
Cl: 0.726 0.320 0.970
Cl: 0.451 0.243 0.550
La: 0.228 0.011 0.243
Cl: 0.359 0.009 0.403
La: 0.728 0.511 0.257
Cl: 0.500 0.500 0.359
Cl: 0.180 0.226 0.470
La: 0.939 0.266 0.397
Cl: 0.680 0.726 0.030
Cl: 0.951 0.743 0.950
Cl: 0.752 0.399 0.742
La: 0.766 0.561 0.897
La: 0.234 0.439 0.897
La: 0.757 0.610 0.624
Cl: 0.000 0.000 0.141
Cl: 0.899 0.748 0.242
La: 0.272 0.489 0.257
La: 0.061 0.734 0.397
Cl: 0.500 0.500 0.641
Cl: 0.000 0.000 0.370
La: 0.610 0.243 0.376
Cl: 0.601 0.752 0.258
Cl: 0.500 0.000 0.172
Cl: 0.141 0.491 0.097
La: 0.011 0.772 0.757
Cl: 0.049 0.257 0.950
Co: 0.750 0.250 0.250
Cl: 0.101 0.252 0.242
Co: 0.250 0.750 0.250
Cl: 0.509 0.141 0.903
Co: 0.250 0.250 0.750
La: 0.390 0.757 0.376
Co: 0.750 0.750 0.750
Cl: 0.320 0.274 0.030
La: 0.243 0.390 0.624
Cl: 0.500 0.500 0.130
Cl: 0.009 0.641 0.597
La: 0.489 0.728 0.743
Cl: 0.399 0.248 0.258
Cl: 0.000 0.000 0.859
Cl: 0.248 0.601 0.742
Cl: 0.000 0.500 0.328
La: 0.439 0.766 0.103
Cl: 0.000 0.500 0.828
Cl: 0.743 0.049 0.050
La: 0.890 0.257 0.124
La: 0.561 0.234 0.103
Cl: 0.859 0.509 0.097
La: 0.734 0.939 0.603
Cl: 0.774 0.180 0.530
Cl: 0.274 0.680 0.970
Cl: 0.991 0.359 0.597
Cl: 0.252 0.899 0.758

Computed properties:
Uncorrected formation energy, kcal/mol of atoms: -46.28